[1]
The following is a GGA-PBE calculation of a relaxed Li2AuF crystal, from Alexandria.

Summary:
space group	Fm-3m, No. 225
M_tot	0.000	μB/atom
calculated total energy	-3.371	eV per atom

Lattice parameters (Å, degrees): 4.3865 4.3865 4.3865 60.00 60.00 60.00
With the nearest neighbours (Å) after each atom.
Fractional positions:
1 Au 0.5000 0.5000 0.5000  8 Li 2.69
2 Li 0.7500 0.7500 0.7500  4 F 2.69, 4 Au 2.69
3 Li 0.2500 0.2500 0.2500  4 F 2.69, 4 Au 2.69
4 F 0.0000 0.0000 0.0000  8 Li 2.69


[2]
The following is a GGA-PBE calculation of a relaxed LiAuF3 crystal, from Alexandria.

Summary:
space group	Pm-3m, No. 221
M_tot	0.000	μB/atom
calculated total energy	-3.482	eV per atom

Lattice parameters (Å, degrees): 4.4324 4.4324 4.4324 90.00 90.00 90.00
With the nearest neighbours (Å) after each atom.
Fractional positions:
1 Li 0.5000 0.5000 0.5000  12 F 3.13
2 F 0.0000 0.0000 0.5000  2 Au 2.22
3 F 0.5000 0.0000 0.0000  2 Au 2.22
4 F 0.0000 0.5000 0.0000  2 Au 2.22
5 Au 0.0000 0.0000 0.0000  6 F 2.22


[3]
The following is a GGA-PBE calculation of a relaxed Li2AuF8 crystal, from Alexandria.

Summary:
space group	C2/m, No. 12
M_tot	0.092	μB/atom
calculated total energy	-3.488	eV per atom

Lattice parameters (Å, degrees): 4.3932 5.7842 5.7842 74.43 87.20 87.20
With the nearest neighbours (Å) after each atom.
Fractional positions:
1 F 0.7751 0.7061 0.1063  1 Au 1.95, 1 Li 2.10
2 F 0.2249 0.2939 0.8937  1 Au 1.95, 1 Li 2.10
3 F 0.2597 0.3991 0.3991  2 Li 1.95-2.11
4 F 0.7751 0.1063 0.7061  1 Au 1.95, 1 Li 2.10
5 F 0.7403 0.6009 0.6009  2 Li 1.95-2.11
6 F 0.7220 0.1733 0.1733  1 Au 1.95, 1 Li 2.02
7 F 0.2780 0.8267 0.8267  1 Au 1.95, 1 Li 2.02
8 F 0.2249 0.8937 0.2939  1 Au 1.95, 1 Li 2.10
9 Li 0.2185 0.6106 0.6106  5 F 1.95-2.11
10 Li 0.7815 0.3894 0.3894  5 F 1.95-2.11
11 Au 0.0000 0.0000 0.0000  6 F 1.95


Q: The lowest calculated total energy belongs to which entry?
A: Li2AuF8


Q: Look up the M_tot of the second one.
A: 0.000 μB/atom


Q: Which value of calculated total energy does entry 3 give?
A: -3.488 eV per atom